(1)
The following is a PBE-GGA calculation of an optimized crystal structure of FeBrCl, from the Alexandria database.

```
FeBrCl
1.0
3.622 0.000 0.000
-1.811 3.137 0.000
0.000 0.000 6.607
Fe Br Cl
1 1 1
Direct
0.000 0.000 0.000 Fe
0.333 0.667 0.235 Br
0.667 0.333 0.796 Cl
```

Properties
Uncorrected energy: -4.547 eV per atom
Space group: No. 156
N(E_F): 0.861 states/eV/atom
Offset from the most stable computed form: 18 meV/atom

(2)
The following is a PBE-GGA calculation of an optimized crystal structure of FeBr2Cl, from the Alexandria database.

```
FeBr2Cl
1.0
6.233 0.000 0.000
0.000 5.748 0.000
0.000 0.000 10.122
Fe Br Cl
4 8 4
Direct
0.250 0.000 0.095 Fe
0.250 0.500 0.405 Fe
0.750 0.000 0.905 Fe
0.750 0.500 0.595 Fe
0.076 0.224 0.922 Br
0.076 0.276 0.578 Br
0.424 0.724 0.578 Br
0.424 0.776 0.922 Br
0.576 0.224 0.078 Br
0.576 0.276 0.422 Br
0.924 0.724 0.422 Br
0.924 0.776 0.078 Br
0.102 0.250 0.250 Cl
0.398 0.750 0.250 Cl
0.602 0.250 0.750 Cl
0.898 0.750 0.750 Cl
```

Properties
Uncorrected energy: -3.758 eV per atom
Space group: No. 52
N(E_F): 1.037 states/eV/atom
Offset from the most stable computed form: 169 meV/atom

(3)
The following is a PBE-GGA calculation of an optimized crystal structure of Fe2BrCl, from the Alexandria database.

```
Fe2BrCl
1.0
-1.786 1.786 5.663
1.786 -1.786 5.663
1.786 1.786 -5.663
Fe Br Cl
2 1 1
Direct
0.000 0.000 0.000 Fe
0.750 0.250 0.500 Fe
0.250 0.750 0.500 Br
0.500 0.500 0.000 Cl
```

Properties
Uncorrected energy: -4.625 eV per atom
Space group: No. 119
N(E_F): 1.201 states/eV/atom
Offset from the most stable computed form: 607 meV/atom

(4)
The following is a PBE-GGA calculation of an optimized crystal structure of FeBr2Cl, from the Alexandria database.

```
FeBr2Cl
1.0
3.758 0.000 0.000
0.000 4.140 0.000
0.000 0.000 6.501
Fe Br Cl
1 2 1
Direct
0.000 0.000 0.000 Fe
0.000 0.500 0.500 Br
0.500 0.000 0.500 Br
0.500 0.500 0.000 Cl
```

Properties
Uncorrected energy: -2.992 eV per atom
Space group: No. 47
N(E_F): 1.469 states/eV/atom
Offset from the most stable computed form: 935 meV/atom